PmSiO4 | PBE | relaxed

POSCAR file:
```
PmSiO4
1.0
-0.412 -1.989 -4.613
4.951 -0.947 -0.034
-3.250 -3.744 4.658
Si O Pm
2 8 2
direct
0.250 0.750 0.500 Si
0.500 0.500 0.000 Si
0.300 0.426 0.350 O
0.700 0.325 0.150 O
0.450 0.824 0.150 O
0.574 0.950 0.650 O
0.050 0.925 0.350 O
0.075 0.700 0.650 O
0.675 0.550 0.850 O
0.176 0.300 0.850 O
0.750 0.250 0.500 Pm
0.000 0.000 0.000 Pm
```

## Properties
**Crystal system**: tetragonal
**Space group**: I4_1/a, No. 88
**M_tot**: 2.032 μB per cell
**Raw total energy**: -7.762 eV/atom
**Density**: 5.35 g cm⁻³